No. 1
Tm10Ge3Pb3 PBE relaxed; space group = P-62m; calculated total energy = -4.974 eV/atom; size of the total moment = 0.00 μB per formula unit
1.0
6.427 0.000 0.000
0.000 7.498 -4.329
0.000 0.000 8.658
Tm Ge Pb
10 3 3
Cartesian
1.672 4.999 0.000
1.672 2.499 4.329
4.755 2.499 4.329
4.755 4.999 0.000
3.214 0.000 6.588
3.214 5.705 -3.294
3.214 1.793 1.035
0.000 0.000 2.046
0.000 1.772 -1.023
0.000 5.727 3.306
3.214 0.000 3.387
3.214 2.933 -1.693
3.214 4.565 2.636
0.000 0.000 5.209
0.000 4.511 -2.604
0.000 2.987 1.725


No. 2
Tm6GePb3 PBE relaxed; space group = P2_1/m; calculated total energy = -4.600 eV/atom; size of the total moment = 1.39 μB per formula unit
1.0
-0.708 -3.341 -1.652
10.817 -3.551 2.546
-7.664 -3.518 10.402
Tm Ge Pb
12 2 6
Cartesian
-0.241 -6.616 6.951
2.686 -3.794 4.345
7.893 -6.135 2.490
-5.448 -4.276 8.806
2.955 -4.250 0.794
-0.510 -6.161 10.502
5.144 -6.366 4.136
-2.699 -4.045 7.160
-2.939 -4.435 3.695
5.384 -5.976 7.601
2.584 -8.097 8.735
-0.139 -2.314 2.562
-5.217 -5.096 6.010
7.662 -5.315 5.286
-3.081 -6.866 8.674
5.526 -3.545 2.623
2.676 -6.717 5.904
-0.231 -3.694 5.392
0.361 -3.076 -0.468
2.084 -7.335 11.764


No. 3
Tm7Ge2Pb2 PBE relaxed; space group = Cmmm; calculated total energy = -4.662 eV/atom; size of the total moment = 0.96 μB per formula unit
1.0
-3.188 -5.780 1.973
5.341 -3.699 -2.208
3.520 1.693 5.675
Tm Ge Pb
7 2 2
Cartesian
3.139 -0.109 2.268
2.368 -5.634 -0.651
2.534 -7.677 3.172
3.305 -2.151 6.090
0.000 0.000 0.000
4.188 -4.828 2.161
1.485 -2.957 3.278
-1.349 -3.732 2.987
7.022 -4.053 2.452
2.941 -5.175 5.120
2.732 -2.610 0.319


No. 4
Tm3GePb2 PBE relaxed; space group = Pnma; calculated total energy = -4.673 eV/atom; size of the total moment = 0.00 μB per formula unit
1.0
4.318 0.000 0.000
0.000 11.796 0.000
0.000 0.000 12.705
Tm Ge Pb
12 4 8
Cartesian
1.079 4.542 0.732
3.238 7.254 11.973
3.238 10.440 5.621
1.079 1.356 7.085
1.079 8.567 3.324
3.238 3.229 9.381
3.238 2.669 3.028
1.079 9.127 9.677
1.079 5.378 4.887
3.238 6.418 7.818
3.238 11.276 1.466
1.079 0.520 11.240
1.079 1.514 1.466
3.238 10.282 11.239
3.238 7.412 4.886
1.079 4.384 7.819
1.079 8.508 6.720
3.238 3.288 5.985
3.238 2.610 12.338
1.079 9.186 0.367
1.079 0.080 3.987
3.238 11.715 8.719
3.238 5.978 2.366
1.079 5.817 10.339


No. 5
Tm8GePb2 PBE relaxed; space group = C2/m; calculated total energy = -4.634 eV/atom; size of the total moment = 0.00 μB per formula unit
1.0
4.921 0.000 0.000
0.000 6.697 0.218
-2.460 -2.535 9.346
Tm Ge Pb
8 1 2
Cartesian
0.000 1.476 7.799
2.460 -0.684 2.796
2.460 3.054 5.419
2.460 -0.902 9.001
0.000 1.109 4.145
0.000 4.847 6.768
2.460 2.687 1.765
0.000 5.064 0.563
2.460 0.000 0.000
2.460 -0.066 5.989
0.000 4.229 3.575


No. 6
Tm5Ge2Pb2 PBE relaxed; space group = Cmce; calculated total energy = -5.011 eV/atom; size of the total moment = 0.00 μB per formula unit
1.0
7.837 0.000 0.000
0.000 7.023 -3.610
0.000 -0.042 8.553
Tm Ge Pb
10 4 4
Cartesian
0.000 0.000 0.000
3.919 3.511 -1.805
6.544 5.542 -0.717
1.293 3.215 0.479
2.625 6.727 -1.326
5.212 2.030 1.088
1.293 1.439 5.660
6.544 3.765 4.464
5.212 0.254 6.269
2.625 4.950 3.855
5.020 6.038 -3.104
2.817 0.985 -0.506
1.101 4.497 -2.312
6.736 2.526 -1.299
0.000 1.464 2.848
3.919 4.976 1.043
0.000 5.516 2.095
3.919 2.005 3.900


No. 7
Tm5GePb2 PBE relaxed; space group = Cmcm; calculated total energy = -4.357 eV/atom; size of the total moment = 0.00 μB per formula unit
1.0
-3.764 -3.970 -1.454
7.370 -1.898 -2.876
2.555 -6.360 10.747
Tm Ge Pb
10 2 4
Cartesian
5.054 -10.960 5.820
4.321 -9.135 2.736
4.516 -5.263 2.679
3.472 -2.665 -1.711
0.904 -5.095 0.550
5.257 -7.134 5.867
1.646 -6.965 3.737
2.689 -9.564 8.128
1.107 -1.268 0.597
1.840 -3.093 3.681
3.205 -8.999 5.251
2.956 -3.230 1.165
3.162 -7.289 0.696
2.492 -5.621 -2.122
2.999 -4.939 5.721
3.669 -6.607 8.538


No. 8
TmGePb PBE relaxed; space group = Cmcm; calculated total energy = -4.696 eV/atom; size of the total moment = 0.00 μB per formula unit
1.0
-1.038 3.645 -1.565
0.336 -1.641 -4.047
-7.749 -2.981 -1.805
Tm Pb Ge
2 2 2
Cartesian
-1.326 -1.113 -4.400
-7.125 0.136 -3.017
-3.799 -0.921 -2.313
-4.652 -0.056 -5.104
-6.980 -2.656 -4.244
-1.471 1.679 -3.173


No. 9
Tm8GePb5 PBE relaxed; space group = I-4; calculated total energy = -4.742 eV/atom; size of the total moment = 0.00 μB per formula unit
1.0
7.535 0.000 -2.579
-3.766 6.481 -2.693
-0.004 0.000 7.964
Tm Ge Pb
8 1 5
Cartesian
-1.819 4.787 -2.292
7.039 0.806 2.951
4.903 1.638 0.355
3.166 2.563 4.278
1.306 3.918 -1.080
1.303 5.675 3.014
1.009 1.694 1.712
-1.844 4.843 1.832
-0.002 3.240 3.982
6.083 2.403 -2.594
3.340 5.648 -2.625
3.282 4.078 1.324
3.766 0.000 2.693
2.366 0.832 -1.262


No. 10
UGe2Pb PBE relaxed; space group = P4/mmm; calculated total energy = -6.125 eV/atom; size of the total moment = 1.72 μB per formula unit
1.0
-2.678 2.034 2.385
-2.588 -3.784 0.321
2.347 -1.289 3.735
Pb Ge U
1 2 1
Cartesian
-1.460 -1.519 3.220
1.174 -0.645 1.867
-1.294 -1.892 0.160
-1.339 1.017 1.193


No. 11
VGe2Pb2 PBE relaxed; space group = P4/mbm; calculated total energy = -4.884 eV/atom; size of the total moment = 2.64 μB per formula unit
1.0
6.828 0.000 0.000
0.000 6.828 0.000
0.000 0.000 4.997
Pb Ge V
4 4 2
Cartesian
1.243 4.657 2.499
4.657 5.584 2.499
5.584 2.171 2.499
2.171 1.243 2.499
2.485 5.899 0.000
5.899 4.342 0.000
4.342 0.929 0.000
0.929 2.485 0.000
0.000 0.000 0.000
3.414 3.414 0.000


No. 12
VGePb3 PBE relaxed; space group = Pm-3m; calculated total energy = -4.357 eV/atom; distance to the lowest polymorph of the same formula = 0 meV/atom; size of the total moment = 1.72 μB per formula unit
1.0
-1.936 -4.940 0.071
0.092 -0.112 -5.305
4.940 -1.934 0.127
Pb Ge V
3 1 1
Cartesian
0.046 -0.056 -2.652
2.470 -0.967 0.063
-0.968 -2.470 0.036
1.548 -3.494 -2.553
0.000 0.000 0.000


No. 13
V3GePb PBE relaxed; space group = Pm-3m; calculated total energy = -6.395 eV/atom; size of the total moment = 5.63 μB per formula unit
1.0
-0.604 4.381 1.431
-4.608 -0.569 -0.206
-0.019 -1.446 4.417
Pb Ge V
1 1 3
Cartesian
-2.616 1.183 2.821
0.000 0.000 0.000
-2.304 -0.284 -0.103
-0.010 -0.723 2.209
-0.302 2.190 0.715


No. 14
VGe3Pb PBE relaxed; space group = Pm-3m; calculated total energy = -5.098 eV/atom; distance to the lowest polymorph of the same formula = 0 meV/atom; size of the total moment = 0.00 μB per formula unit
1.0
4.836 0.000 0.000
0.000 4.836 0.000
0.000 0.000 4.836
Pb Ge V
1 3 1
Cartesian
2.418 2.418 2.418
0.000 2.418 0.000
0.000 0.000 2.418
2.418 0.000 0.000
0.000 0.000 0.000


No. 15
VGePb3 PBE relaxed; space group = Pm-3m; calculated total energy = -3.974 eV/atom; distance to the lowest polymorph of the same formula = 383 meV/atom; size of the total moment = 3.94 μB per formula unit
1.0
5.510 0.000 0.000
0.000 5.510 0.000
0.000 0.000 5.510
Pb Ge V
3 1 1
Cartesian
0.000 2.755 0.000
0.000 0.000 2.755
2.755 0.000 0.000
0.000 0.000 0.000
2.755 2.755 2.755


No. 16
V2GePb PBE relaxed; space group = I-42d; calculated total energy = -6.030 eV/atom; size of the total moment = 0.00 μB per formula unit
1.0
4.195 0.000 0.000
0.000 4.195 0.000
2.097 2.097 9.147
Pb Ge V
2 2 4
Cartesian
0.000 0.000 0.000
4.195 2.097 4.573
2.097 2.097 0.000
2.097 4.195 4.573
2.559 1.049 2.287
1.636 3.146 2.287
3.146 3.733 6.860
5.244 4.657 6.860


No. 17
VGePb PBE relaxed; space group = P2_1/m; calculated total energy = -5.560 eV/atom; size of the total moment = 0.00 μB per formula unit
1.0
3.356 0.000 0.000
0.000 6.955 -0.225
0.000 -1.272 5.427
V Ge Pb
2 2 2
Cartesian
0.839 5.771 4.286
2.517 -0.088 0.916
0.839 1.839 0.998
2.517 3.844 4.204
2.517 1.083 3.704
0.839 4.599 1.499


No. 18
Ge2PbW2 PBE relaxed; space group = P4/mbm; calculated total energy = -7.245 eV/atom; distance to the lowest polymorph of the same formula = 0 meV/atom; size of the total moment = 0.00 μB per formula unit
1.0
7.507 0.000 0.000
0.000 7.507 0.000
0.000 0.000 3.201
Pb Ge W
2 4 4
Cartesian
0.000 0.000 0.000
3.754 3.754 0.000
1.088 4.841 1.600
4.841 6.420 1.600
6.420 2.666 1.600
2.666 1.088 1.600
2.685 6.439 0.000
6.439 4.822 0.000
4.822 1.069 0.000
1.069 2.685 0.000


No. 19
GePbW3 PBE relaxed; space group = Pm-3m; calculated total energy = -6.192 eV/atom; distance to the lowest polymorph of the same formula = 1519 meV/atom; size of the total moment = 0.00 μB per formula unit
1.0
-2.547 1.272 -4.135
0.459 -4.692 -1.726
-4.302 -1.253 2.264
Pb Ge W
1 1 3
Cartesian
0.000 0.000 0.000
-3.195 -2.337 -1.798
0.229 -2.346 -0.863
-2.151 -0.627 1.132
-1.273 0.636 -2.067


No. 20
Ge3PbW PBE relaxed; space group = Pm-3m; calculated total energy = -5.662 eV/atom; distance to the lowest polymorph of the same formula = 0 meV/atom; size of the total moment = 0.00 μB per formula unit
1.0
4.974 0.000 0.000
0.000 4.974 0.000
0.000 0.000 4.974
Pb Ge W
1 3 1
Cartesian
2.487 2.487 2.487
0.000 2.487 0.000
0.000 0.000 2.487
2.487 0.000 0.000
0.000 0.000 0.000


no.,density of states at the Fermi level (states/eV/f.u.)
1,8.22
2,8.74
3,13.14
4,4.00
5,11.23
6,4.40
7,8.11
8,1.32
9,1.19
10,5.93
11,4.72
12,5.77
13,7.20
14,4.33
15,9.28
16,3.57
17,1.98
18,3.16
19,6.84
20,2.67